[1]
Material: Ca2AcP
Method: DFT, PBE
State: optimized geometry

abc: 11.212 11.212 11.212
angles: 20.90 20.90 20.90
Element x y z (fractional)
Ca  0.121  0.121  0.121
Ca  0.879  0.879  0.879
Ac  0.000  0.000  0.000
P  0.500  0.500  0.500

Energy above the most stable polymorph in this dataset, meV per atom: 5
DFT formation energy, eV/atom: -0.456
Magnetic moment, μB per formula unit: 0.000

=====

[2]
Material: CaAcP
Method: DFT, PBE
State: optimized geometry

abc: 7.330 6.914 8.224
angles: 90.00 92.21 90.00
Element x y z (fractional)
Ca  0.081  0.227  0.133
Ca  0.081  0.273  0.633
Ca  0.919  0.727  0.367
Ca  0.919  0.773  0.867
Ac  0.417  0.738  0.122
Ac  0.417  0.762  0.622
Ac  0.583  0.238  0.378
Ac  0.583  0.262  0.878
P  0.240  0.015  0.874
P  0.240  0.485  0.374
P  0.760  0.515  0.626
P  0.760  0.985  0.126

Energy above the most stable polymorph in this dataset, meV per atom: 4
DFT formation energy, eV/atom: -0.827
Magnetic moment, μB per formula unit: 0.000

=====

[3]
Material: Ca2AcPPb
Method: DFT, PBE
State: optimized geometry

abc: 5.409 5.409 5.948
angles: 90.00 90.00 90.00
Element x y z (fractional)
Ca  0.000  0.500  0.000
Ca  0.500  0.000  0.000
Ac  0.000  0.000  0.518
P  0.000  0.000  0.024
Pb  0.500  0.500  0.549

DFT formation energy, eV/atom: -0.783
Magnetic moment, μB per formula unit: 0.000

=====

Question: Number 2 is which compound?
Answer: CaAcP